Entry from Alexandria: a relaxed TbPu2Ru crystal (PBE).

```
TbPu2Ru
1.0
3.3530 0.0000 0.0000
1.6765 2.9038 0.0000
1.6765 0.9679 10.4813
Tb Ru Pu
1 1 2
Cartesian
0.0000 0.0000 0.0000
3.3530 1.9358 5.2406
1.6765 0.9679 7.2761
5.0295 2.9038 3.2052
```

## Properties
As for the crystal system: trigonal. For the energy above the most stable polymorph in this dataset, the calculation gives 0.250 eV/atom.